No. 1
# MgTc2Sb | the Alexandria database | SCAN | single point on PBEsol structure
data_MgTc2Sb
_symmetry_space_group_name_H-M 'P 1'
_symmetry_Int_Tables_number 1
_symmetry_space_group_name_Hall 'P 1'
_cell_length_a 5.072
_cell_length_b 5.072
_cell_length_c 4.617
_cell_angle_alpha 108.15
_cell_angle_beta 108.15
_cell_angle_gamma 35.33
loop_
_atom_site_label
_atom_site_fract_x
_atom_site_fract_y
_atom_site_fract_z
_atom_site_occupancy
Mg1 0.000 0.000 0.000 1
Tc1 0.247 0.247 0.821 1
Tc2 0.523 0.523 0.514 1
Sb1 0.775 0.775 0.337 1
# * E_tot: -27.953 eV per atom
# * distance to the lowest polymorph of the same formula: 0.0 meV/atom
# * symmetry: No. 8

***

No. 2
# TlRh2Se | the Alexandria database | SCAN | single point on PBEsol structure
data_TlRh2Se
_symmetry_space_group_name_H-M 'P 1'
_symmetry_Int_Tables_number 1
_symmetry_space_group_name_Hall 'P 1'
_cell_length_a 4.572
_cell_length_b 4.572
_cell_length_c 4.572
_cell_angle_alpha 60.00
_cell_angle_beta 60.00
_cell_angle_gamma 60.00
loop_
_atom_site_label
_atom_site_fract_x
_atom_site_fract_y
_atom_site_fract_z
_atom_site_occupancy
Tl1 0.000 0.000 0.000 1
Rh1 0.500 0.500 0.500 1
Rh2 0.750 0.750 0.750 1
Se1 0.250 0.250 0.250 1
# * E_tot: -39.487 eV per atom
# * symmetry: No. 216

***

No. 3
# BaMnRh2 | the Alexandria database | SCAN | single point on PBEsol structure
data_BaMnRh2
_symmetry_space_group_name_H-M 'P 1'
_symmetry_Int_Tables_number 1
_symmetry_space_group_name_Hall 'P 1'
_cell_length_a 5.377
_cell_length_b 5.377
_cell_length_c 5.377
_cell_angle_alpha 135.87
_cell_angle_beta 135.87
_cell_angle_gamma 64.18
loop_
_atom_site_label
_atom_site_fract_x
_atom_site_fract_y
_atom_site_fract_z
_atom_site_occupancy
Ba1 0.000 0.000 0.000 1
Mn1 0.750 0.250 0.500 1
Rh1 0.250 0.750 0.500 1
Rh2 0.500 0.500 0.000 1
# * E_tot: -30.965 eV per atom
# * symmetry: No. 119
# * ΔH_f (0 K): 144 kJ/mol of formula units

***

No. 4
# RbYFe3 | the Alexandria database | SCAN | single point on PBEsol structure
data_RbYFe3
_symmetry_space_group_name_H-M 'P 1'
_symmetry_Int_Tables_number 1
_symmetry_space_group_name_Hall 'P 1'
_cell_length_a 4.624
_cell_length_b 4.624
_cell_length_c 4.624
_cell_angle_alpha 90.00
_cell_angle_beta 90.00
_cell_angle_gamma 90.00
loop_
_atom_site_label
_atom_site_fract_x
_atom_site_fract_y
_atom_site_fract_z
_atom_site_occupancy
Rb1 0.000 0.000 0.000 1
Y1 0.500 0.500 0.500 1
Fe1 0.000 0.000 0.500 1
Fe2 0.000 0.500 0.000 1
Fe3 0.500 0.000 0.000 1
# * E_tot: -18.377 eV per atom
# * symmetry: No. 221
# * ΔH_f (0 K): 1070 kJ/mol of formula units

***

No. 5
# Cd2AuBr | the Alexandria database | SCAN | single point on PBEsol structure
data_Cd2AuBr
_symmetry_space_group_name_H-M 'P 1'
_symmetry_Int_Tables_number 1
_symmetry_space_group_name_Hall 'P 1'
_cell_length_a 5.074
_cell_length_b 5.074
_cell_length_c 3.339
_cell_angle_alpha 90.00
_cell_angle_beta 90.00
_cell_angle_gamma 104.75
loop_
_atom_site_label
_atom_site_fract_x
_atom_site_fract_y
_atom_site_fract_z
_atom_site_occupancy
Cd1 0.000 0.500 0.000 1
Cd2 0.500 0.000 0.000 1
Au1 0.000 0.000 0.500 1
Br1 0.500 0.500 0.500 1
# * E_tot: -37.437 eV per atom
# * symmetry: No. 65

***

No. 6
# SrTlMo2 | the Alexandria database | SCAN | single point on PBEsol structure
data_SrTlMo2
_symmetry_space_group_name_H-M 'P 1'
_symmetry_Int_Tables_number 1
_symmetry_space_group_name_Hall 'P 1'
_cell_length_a 3.019
_cell_length_b 5.285
_cell_length_c 5.437
_cell_angle_alpha 90.00
_cell_angle_beta 91.98
_cell_angle_gamma 90.00
loop_
_atom_site_label
_atom_site_fract_x
_atom_site_fract_y
_atom_site_fract_z
_atom_site_occupancy
Sr1 0.000 0.000 0.000 1
Tl1 0.500 0.000 0.500 1
Mo1 0.364 0.500 0.795 1
Mo2 0.636 0.500 0.205 1
# * E_tot: -40.183 eV per atom
# * distance to the lowest polymorph of the same formula: 0.0 meV/atom
# * symmetry: No. 10
# * ΔH_f (0 K): 354 kJ/mol of formula units

***

No. 7
# SbTe2WI | the Alexandria database | SCAN | single point on PBEsol structure
data_SbTe2WI
_symmetry_space_group_name_H-M 'P 1'
_symmetry_Int_Tables_number 1
_symmetry_space_group_name_Hall 'P 1'
_cell_length_a 5.187
_cell_length_b 5.187
_cell_length_c 5.374
_cell_angle_alpha 90.00
_cell_angle_beta 90.00
_cell_angle_gamma 90.00
loop_
_atom_site_label
_atom_site_fract_x
_atom_site_fract_y
_atom_site_fract_z
_atom_site_occupancy
Sb1 0.000 0.000 0.000 1
Te1 0.000 0.500 0.500 1
Te2 0.500 0.000 0.500 1
W1 0.000 0.000 0.500 1
I1 0.500 0.500 0.000 1
# * E_tot: -43.140 eV per atom
# * distance to the lowest polymorph of the same formula: 0.0 meV/atom
# * symmetry: No. 123

***

No. 8
# BaAs | the Alexandria database | SCAN | single point on PBEsol structure
data_BaAs
_symmetry_space_group_name_H-M 'P 1'
_symmetry_Int_Tables_number 1
_symmetry_space_group_name_Hall 'P 1'
_cell_length_a 5.465
_cell_length_b 5.465
_cell_length_c 5.465
_cell_angle_alpha 60.00
_cell_angle_beta 60.00
_cell_angle_gamma 60.00
loop_
_atom_site_label
_atom_site_fract_x
_atom_site_fract_y
_atom_site_fract_z
_atom_site_occupancy
Ba1 0.125 0.125 0.125 1
Ba2 0.875 0.875 0.875 1
As1 0.375 0.375 0.375 1
As2 0.625 0.625 0.625 1
# * E_tot: -30.271 eV per atom
# * symmetry: No. 227
# * ΔH_f (0 K): -77 kJ/mol of formula units

***

No. 9
# MgTlCl | the Alexandria database | SCAN | single point on PBEsol structure
data_MgTlCl
_symmetry_space_group_name_H-M 'P 1'
_symmetry_Int_Tables_number 1
_symmetry_space_group_name_Hall 'P 1'
_cell_length_a 5.130
_cell_length_b 5.130
_cell_length_c 5.130
_cell_angle_alpha 60.00
_cell_angle_beta 60.00
_cell_angle_gamma 60.00
loop_
_atom_site_label
_atom_site_fract_x
_atom_site_fract_y
_atom_site_fract_z
_atom_site_occupancy
Mg1 0.000 0.000 0.000 1
Tl1 0.250 0.250 0.250 1
Cl1 0.500 0.500 0.500 1
# * E_tot: -28.700 eV per atom
# * distance to the lowest polymorph of the same formula: 505.0 meV/atom
# * symmetry: No. 216

***

No. 10
# CaAg2Pb | the Alexandria database | SCAN | single point on PBEsol structure
data_CaAg2Pb
_symmetry_space_group_name_H-M 'P 1'
_symmetry_Int_Tables_number 1
_symmetry_space_group_name_Hall 'P 1'
_cell_length_a 3.275
_cell_length_b 5.419
_cell_length_c 5.968
_cell_angle_alpha 115.97
_cell_angle_beta 104.28
_cell_angle_gamma 93.23
loop_
_atom_site_label
_atom_site_fract_x
_atom_site_fract_y
_atom_site_fract_z
_atom_site_occupancy
Ca1 0.000 0.000 0.000 1
Ag1 0.000 0.500 0.500 1
Ag2 0.500 0.000 0.500 1
Pb1 0.500 0.500 0.000 1
# * E_tot: -37.127 eV per atom
# * symmetry: No. 2
# * ΔH_f (0 K): -32 kJ/mol of formula units

***

No. 11
# Ca2OsW | the Alexandria database | SCAN | single point on PBEsol structure
data_Ca2OsW
_symmetry_space_group_name_H-M 'P 1'
_symmetry_Int_Tables_number 1
_symmetry_space_group_name_Hall 'P 1'
_cell_length_a 10.141
_cell_length_b 10.141
_cell_length_c 10.141
_cell_angle_alpha 16.74
_cell_angle_beta 16.74
_cell_angle_gamma 16.74
loop_
_atom_site_label
_atom_site_fract_x
_atom_site_fract_y
_atom_site_fract_z
_atom_site_occupancy
Ca1 0.245 0.245 0.245 1
Ca2 0.755 0.755 0.755 1
Os1 0.500 0.500 0.500 1
W1 0.000 0.000 0.000 1
# * E_tot: -39.227 eV per atom
# * symmetry: No. 166
# * ΔH_f (0 K): 385 kJ/mol of formula units

***

No. 12
# NiIr2Ru | the Alexandria database | SCAN | single point on PBEsol structure
data_NiIr2Ru
_symmetry_space_group_name_H-M 'P 1'
_symmetry_Int_Tables_number 1
_symmetry_space_group_name_Hall 'P 1'
_cell_length_a 8.633
_cell_length_b 8.633
_cell_length_c 8.633
_cell_angle_alpha 17.79
_cell_angle_beta 17.79
_cell_angle_gamma 17.79
loop_
_atom_site_label
_atom_site_fract_x
_atom_site_fract_y
_atom_site_fract_z
_atom_site_occupancy
Ni1 0.000 0.000 0.000 1
Ir1 0.252 0.252 0.252 1
Ir2 0.748 0.748 0.748 1
Ru1 0.500 0.500 0.500 1
# * E_tot: -48.314 eV per atom
# * distance to the lowest polymorph of the same formula: 11.8 meV/atom
# * symmetry: No. 166
# * ΔH_f (0 K): -6 kJ/mol of formula units